Computed, not measured: a relaxed VSi3Tc4 crystal at the PBE level of DFT.

Results
- total DFT energy (no corrections) (eV for the cell shown) = -141.2
- spin magnetization (μB per formula unit) = 0.0
- mass density (g/cm3) = 8.26

Lattice parameters (Å, degrees): 4.233 4.233 11.832 90.00 90.00 90.00
Space group I4/mmm (No. 139)
Symmetry-distinct sites (fractional):
V  0.000  0.000  0.000 x2
Si  0.000  0.000  0.248 x4
Si  0.000  0.000  0.500 x2
Tc  0.000  0.500  0.129 x8